This record from the Alexandria database describes a relaxed structure of RbCoHg2F8. The functional is PBE+U.

```
12
Lattice="4.856 -0.628 0.384 -0.652 5.372 -0.203 0.624 -0.236 7.592" Properties=species:S:1:pos:R:3 pbc="T T T"
Rb 0.312 -0.118 3.796
Co 0.000 0.000 0.000
Hg 2.114 2.383 5.854
Hg 2.714 2.124 1.920
F -0.171 4.068 1.031
F 3.221 3.538 7.572
F 4.134 0.367 1.794
F 4.998 0.440 6.742
F 1.606 0.969 0.201
F 0.694 4.140 5.980
F 1.804 3.376 3.419
F 3.023 1.132 4.354
```

Calculated values
- total magnetization (μB per formula unit) = 0.09
- volume (Å³/cell) = 193.56
- electronic total energy (eV/atom) = -3.56